Record 1
Here is an optimized crystal structure of TaCuIrOs from Alexandria via LeMat-Bulk. Energies are from PBE.

Computed properties:
Uncorrected energy (eV per atom): -9.166
Formation energy from the elements (eV/atom): -0.156
DOS at the Fermi energy (states/eV/cell): 5.72
Space group: F-43m

Lattice parameters (Å, degrees): 4.3822 4.3822 4.3822 60.00 60.00 60.00
Sites, in units of the cell vectors:
Ir  0.5000  0.5000  0.5000
Os  0.0000  0.0000  0.0000
Ta  0.7500  0.7500  0.7500
Cu  0.2500  0.2500  0.2500

---

Record 2
Here is an optimized crystal structure of AlCd2Se from Alexandria via LeMat-Bulk. Energies are from PBE.

Computed properties:
Uncorrected energy (eV per atom): -2.208
E above lowest polymorph (eV/atom): 0.263
Formation energy (no corrections) (kJ/mol of formula units): 21.7
DOS at the Fermi energy (states/eV/cell): 1.28
Space group: C2/m

Lattice parameters (Å, degrees): 7.0021 7.0021 5.0172 75.10 75.10 23.07
Sites, in units of the cell vectors:
Al  0.2500  0.2500  0.2500
Cd  0.5518  0.5518  0.4683
Cd  0.9482  0.9482  0.0317
Se  0.7500  0.7500  0.7500

---

Record 3
Here is an optimized crystal structure of TlBi2BSe from Alexandria via LeMat-Bulk. Energies are from PBE.

Computed properties:
Uncorrected energy (eV per atom): -3.426
Formation energy (no corrections) (kJ/mol of formula units): 304.7
DOS at the Fermi energy (states/eV/cell): 3.63
Space group: P4/mmm

Lattice parameters (Å, degrees): 5.2143 4.7379 5.2143 90.00 90.00 90.00
Sites, in units of the cell vectors:
B  0.0000  0.0000  0.0000
Bi  0.5000  0.0000  0.0000
Bi  0.0000  0.0000  0.5000
Se  0.5000  0.5000  0.5000
Tl  0.0000  0.5000  0.0000